# 1
{
  "formula": "NbTcHRu2",
  "functional": "PBE-GGA",
  "state": "optimized geometry",
  "lattice_angstrom": [[3.964, 0.000, 0.000], [0.000, 3.964, 0.000], [0.000, 0.000, 3.961]],
  "species": ["Nb", "Tc", "H", "Ru", "Ru"],
  "fractional_positions": [[0.000, 0.000, 0.000], [0.500, 0.500, 0.000], [0.500, 0.500, 0.500], [0.000, 0.500, 0.500], [0.500, 0.000, 0.500]],
  "magnetic_moment_mub_per_atom": 0.000,
  "e_above_lowest_polymorph_mev_per_atom": 0
}


# 2
{
  "formula": "CaDyY2",
  "functional": "PBE-GGA",
  "state": "optimized geometry",
  "lattice_angstrom": [[5.128, 0.000, 0.000], [0.000, 5.128, 0.000], [0.000, 0.000, 5.110]],
  "species": ["Ca", "Dy", "Y", "Y"],
  "fractional_positions": [[0.000, 0.000, 0.000], [0.500, 0.500, 0.000], [0.000, 0.500, 0.500], [0.500, 0.000, 0.500]],
  "magnetic_moment_mub_per_atom": 0.000,
  "delta_e_f_kj_per_mol_atoms": 12.86,
  "e_above_lowest_polymorph_mev_per_atom": 74
}


# 3
{
  "formula": "Ba4AlIn",
  "functional": "PBE-GGA",
  "state": "optimized geometry",
  "lattice_angstrom": [[0.000, 5.103, 5.103], [5.103, 0.000, 5.103], [5.103, 5.103, 0.000]],
  "species": ["Ba", "Ba", "Ba", "Ba", "Al", "In"],
  "fractional_positions": [[0.125, 0.125, 0.125], [0.125, 0.125, 0.625], [0.125, 0.625, 0.125], [0.625, 0.125, 0.125], [0.500, 0.500, 0.500], [0.750, 0.750, 0.750]],
  "magnetic_moment_mub_per_atom": 0.000,
  "delta_e_f_kj_per_mol_atoms": 41.29
}


# 4
{
  "formula": "NaSn2Pb",
  "functional": "PBE-GGA",
  "state": "optimized geometry",
  "lattice_angstrom": [[4.731, 0.000, 0.000], [0.000, 4.731, 0.000], [0.000, 0.000, 4.963]],
  "species": ["Na", "Sn", "Sn", "Pb"],
  "fractional_positions": [[0.000, 0.000, 0.000], [0.000, 0.500, 0.500], [0.500, 0.000, 0.500], [0.500, 0.500, 0.000]],
  "magnetic_moment_mub_per_atom": 0.000,
  "delta_e_f_kj_per_mol_atoms": -10.46
}


# 5
{
  "formula": "TaSbTe2O",
  "functional": "PBE-GGA",
  "state": "optimized geometry",
  "lattice_angstrom": [[5.262, 0.000, 0.000], [0.000, 5.262, 0.000], [0.000, 0.000, 5.382]],
  "species": ["Ta", "Sb", "Te", "Te", "O"],
  "fractional_positions": [[0.000, 0.000, 0.000], [0.000, 0.000, 0.500], [0.000, 0.500, 0.000], [0.500, 0.000, 0.000], [0.500, 0.500, 0.500]],
  "raw_formation_energy_mev_per_atom": 713,
  "magnetic_moment_mub_per_atom": 0.000,
  "e_above_lowest_polymorph_mev_per_atom": 283
}


# 6
{
  "formula": "Sm4SiPSe2",
  "functional": "PBE-GGA",
  "state": "optimized geometry",
  "lattice_angstrom": [[7.217, 0.000, 0.000], [0.000, 4.168, 0.000], [-2.402, 0.000, 6.872]],
  "species": ["Sm", "Sm", "Sm", "Sm", "Si", "P", "Se", "Se"],
  "fractional_positions": [[0.244, 0.000, 0.233], [0.254, 0.500, 0.764], [0.746, 0.500, 0.236], [0.756, 0.000, 0.767], [0.500, 0.000, 0.000], [0.000, 0.500, 0.000], [0.000, 0.000, 0.500], [0.500, 0.500, 0.500]],
  "raw_formation_energy_mev_per_atom": -1563,
  "magnetic_moment_mub_per_atom": 0.000
}


# 7
{
  "formula": "MgHgRhSe2",
  "functional": "PBE-GGA",
  "state": "optimized geometry",
  "lattice_angstrom": [[5.288, 0.000, 0.000], [0.000, 5.288, 0.000], [0.000, 0.000, 4.997]],
  "species": ["Mg", "Hg", "Rh", "Se", "Se"],
  "fractional_positions": [[0.000, 0.000, 0.000], [0.000, 0.000, 0.500], [0.500, 0.500, 0.000], [0.000, 0.500, 0.500], [0.500, 0.000, 0.500]],
  "raw_formation_energy_mev_per_atom": 980,
  "magnetic_moment_mub_per_atom": 0.369
}


# 8
{
  "formula": "LiPmErAg",
  "functional": "PBE-GGA",
  "state": "optimized geometry",
  "lattice_angstrom": [[7.372, 0.000, 0.000], [0.000, 7.372, 0.000], [0.000, 0.000, 7.372]],
  "species": ["Li", "Li", "Li", "Li", "Pm", "Pm", "Pm", "Pm", "Er", "Er", "Er", "Er", "Ag", "Ag", "Ag", "Ag"],
  "fractional_positions": [[0.000, 0.000, 0.000], [0.000, 0.500, 0.500], [0.500, 0.000, 0.500], [0.500, 0.500, 0.000], [0.250, 0.250, 0.250], [0.250, 0.750, 0.750], [0.750, 0.250, 0.750], [0.750, 0.750, 0.250], [0.250, 0.250, 0.750], [0.250, 0.750, 0.250], [0.750, 0.250, 0.250], [0.750, 0.750, 0.750], [0.000, 0.000, 0.500], [0.000, 0.500, 0.000], [0.500, 0.000, 0.000], [0.500, 0.500, 0.500]],
  "magnetic_moment_mub_per_atom": 0.000,
  "delta_e_f_kj_per_mol_atoms": -7.74
}